(1)
Here is a relaxed FeRhPb crystal from the Alexandria database. Energies are from PBE-GGA.

Space-group type: I4mm
Fermi-level density of states, states/eV per cell: 3.0
Total DFT energy (no corrections), eV/atom: -6.238
Relative energy among the computed polymorphs, meV per atom: 27.1
Energy relative to the elements, kJ/mol of atoms: 26.0

a = 5.203 Å, b = 5.203 Å, c = 5.203 Å
α = 142.27°, β = 142.27°, γ = 54.43°
Atoms (fractional coordinates):
Fe (0.000, 0.000, 0.000)
Rh (0.625, 0.625, 0.000)
Pb (0.313, 0.313, 0.000)

=====

(2)
Here is a relaxed BeTc2Ir crystal from the Alexandria database. Energies are from PBE-GGA.

Space-group type: Pmmm
Fermi-level density of states, states/eV per cell: 1.7
Total DFT energy (no corrections), eV/atom: -8.459
Energy relative to the elements, kJ/mol of atoms: -12.5

a = 2.732 Å, b = 3.937 Å, c = 4.974 Å
α = 90.00°, β = 90.00°, γ = 90.00°
Atoms (fractional coordinates):
Be (0.000, 0.000, 0.000)
Tc (0.500, 0.500, 0.230)
Tc (0.500, 0.500, 0.770)
Ir (0.000, 0.000, 0.500)

=====

(3)
Here is a relaxed SmEr12Tm6 crystal from the Alexandria database. Energies are from PBE-GGA.

Space-group type: R-3m
Fermi-level density of states, states/eV per cell: 25.5
Total DFT energy (no corrections), eV/atom: -4.099
Relative energy among the computed polymorphs, meV per atom: 281.1
Energy relative to the elements, kJ/mol of atoms: 42.8

a = 9.185 Å, b = 9.185 Å, c = 9.185 Å
α = 107.54°, β = 107.54°, γ = 107.54°
Atoms (fractional coordinates):
Sm (0.000, 0.000, 0.000)
Er (0.111, 0.500, 0.889)
Er (0.111, 0.889, 0.500)
Er (0.139, 0.361, 0.361)
Er (0.361, 0.139, 0.361)
Er (0.361, 0.361, 0.139)
Er (0.500, 0.111, 0.889)
Er (0.500, 0.889, 0.111)
Er (0.639, 0.639, 0.861)
Er (0.639, 0.861, 0.639)
Er (0.861, 0.639, 0.639)
Er (0.889, 0.111, 0.500)
Er (0.889, 0.500, 0.111)
Tm (0.272, 0.688, 0.688)
Tm (0.312, 0.312, 0.728)
Tm (0.312, 0.728, 0.312)
Tm (0.688, 0.272, 0.688)
Tm (0.688, 0.688, 0.272)
Tm (0.728, 0.312, 0.312)

=====

(4)
Here is a relaxed PrNd3Y2Er6 crystal from the Alexandria database. Energies are from PBE-GGA.

Space-group type: C2/m
Fermi-level density of states, states/eV per cell: 15.1
Total DFT energy (no corrections), eV/atom: -4.930
Energy relative to the elements, kJ/mol of atoms: 1.8

a = 6.206 Å, b = 6.206 Å, c = 11.803 Å
α = 95.01°, β = 95.01°, γ = 119.98°
Atoms (fractional coordinates):
Pr (0.000, 0.000, 0.000)
Nd (0.167, 0.833, 0.500)
Nd (0.500, 0.500, 0.500)
Nd (0.833, 0.167, 0.500)
Y (0.333, 0.667, 0.000)
Y (0.667, 0.333, 0.000)
Er (0.083, 0.417, 0.249)
Er (0.250, 0.250, 0.751)
Er (0.417, 0.083, 0.249)
Er (0.583, 0.917, 0.751)
Er (0.750, 0.750, 0.249)
Er (0.917, 0.583, 0.751)